Entry 1:
DFT (PBE-GGA) results for an optimized crystal structure of SrPrTlIn.

Computed properties:
Its space group is P4mm, No. 99. The value obtained for the formation enthalpy at 0 K is -0.4293 eV/atom. The density of states at the Fermi level is 0.5943 states/eV/atom.

abc: 3.9658 3.9658 8.1403
angles: 90.00 90.00 90.00
Last column: nearest neighbours and their distance in Å.
Fractional coordinates of all 4 atoms:
Sr  0.0000  0.0000  0.0000  4 In 3.52, 4 Tl 3.53
Pr  0.0000  0.0000  0.4964  4 In 3.39, 4 Tl 3.42
Tl  0.5000  0.5000  0.7371  4 Pr 3.42, 4 Sr 3.53
In  0.5000  0.5000  0.2617  4 Pr 3.39, 4 Sr 3.52

=====

Entry 2:
DFT (PBE-GGA) results for an optimized crystal structure of UH3Ir.

Computed properties:
Its space group is Pm-3m, No. 221. The density of states at the Fermi level is 0.8106 states/eV/atom.

abc: 3.7010 3.7010 3.7010
angles: 90.00 90.00 90.00
Last column: nearest neighbours and their distance in Å.
Fractional coordinates of all 5 atoms:
U  0.0000  0.0000  0.0000  12 H 2.62
H  0.0000  0.5000  0.5000  2 Ir 1.85
H  0.5000  0.0000  0.5000  2 Ir 1.85
H  0.5000  0.5000  0.0000  2 Ir 1.85
Ir  0.5000  0.5000  0.5000  6 H 1.85

=====

Entry 3:
DFT (PBE-GGA) results for an optimized crystal structure of PrAs2RhO8.

Computed properties:
Its space group is P-3m1, No. 164. For the formation energy without anion corrections, the calculation gives -1.4832 eV/atom.

abc: 5.4440 5.4440 6.9297
angles: 90.00 90.00 120.00
Last column: nearest neighbours and their distance in Å.
Fractional coordinates of all 12 atoms:
Pr  0.0000  0.0000  0.0000  6 O 2.52
As  0.3333  0.6667  0.2356  4 O 1.70-1.72
As  0.6667  0.3333  0.7644  4 O 1.70-1.72
Rh  0.0000  0.0000  0.5000  6 O 2.04
O  0.1560  0.3121  0.2955  1 As 1.72
O  0.1560  0.8440  0.2955  1 As 1.72
O  0.3121  0.1560  0.7045  1 As 1.72
O  0.3333  0.6667  0.9908  1 As 1.70
O  0.6667  0.3333  0.0092  1 As 1.70
O  0.6879  0.8440  0.2955  1 As 1.72
O  0.8440  0.1560  0.7045  1 As 1.72
O  0.8440  0.6879  0.7045  1 As 1.72

=====

Entry 4:
DFT (PBE-GGA) results for an optimized crystal structure of NiNCl3.

Computed properties:
Its space group is Pm-3m, No. 221. For the formation energy without anion corrections, the calculation gives 1.2154 eV/atom. The density of states at the Fermi level is 1.2039 states/eV/atom.

abc: 4.5245 4.5245 4.5245
angles: 90.00 90.00 90.00
Last column: nearest neighbours and their distance in Å.
Fractional coordinates of all 5 atoms:
Ni  0.0000  0.0000  0.0000  6 Cl 2.26
N  0.5000  0.5000  0.5000  12 Cl 3.20
Cl  0.0000  0.0000  0.5000  2 Ni 2.26
Cl  0.0000  0.5000  0.0000  2 Ni 2.26
Cl  0.5000  0.0000  0.0000  2 Ni 2.26

=====

Number 1: calculated volume 32.0 A^3/atom, energy -13.283 eV for the cell shown. Number 2: calculated volume 10.1 A^3/atom, energy -31.056 eV for the cell shown. Number 3: calculated volume 14.8 A^3/atom, energy -78.894 eV for the cell shown. Number 4: calculated volume 18.5 A^3/atom, energy -13.570 eV for the cell shown.